Compound: HfTi3Os
Source: Alexandria via LeMat-Bulk
Functional: SCAN
Structure: single point on PBEsol structure

a b c (Å): 4.668 4.668 4.668
angles (deg): 90.00 90.00 90.00
Element x y z (fractional)
1 Hf 0.000 0.000 0.000
2 Ti 0.000 0.500 0.500
3 Ti 0.500 0.000 0.500
4 Ti 0.500 0.500 0.000
5 Os 0.500 0.500 0.500

Properties
Formation enthalpy at 0 K ... 1.840 eV per formula unit
Crystal system ... cubic
SG ... Pm-3m

=====

Compound: Hf2TlOs
Source: Alexandria via LeMat-Bulk
Functional: SCAN
Structure: single point on PBEsol structure

a b c (Å): 4.747 4.747 4.747
angles (deg): 60.00 60.00 60.00
Element x y z (fractional)
1 Hf 0.250 0.250 0.250
2 Hf 0.750 0.750 0.750
3 Tl 0.000 0.000 0.000
4 Os 0.500 0.500 0.500

Properties
Formation enthalpy at 0 K ... -0.457 eV per formula unit
Crystal system ... cubic
SG ... Fm-3m

=====

Compound: TmHfOs2
Source: Alexandria via LeMat-Bulk
Functional: SCAN
Structure: single point on PBEsol structure

a b c (Å): 4.608 4.608 4.608
angles (deg): 60.00 60.00 60.00
Element x y z (fractional)
1 Tm 0.000 0.000 0.000
2 Hf 0.500 0.500 0.500
3 Os 0.250 0.250 0.250
4 Os 0.750 0.750 0.750

Properties
Formation enthalpy at 0 K ... -2.522 eV per formula unit
Crystal system ... cubic
SG ... Fm-3m

=====

Compound: YHf2Os2
Source: Alexandria via LeMat-Bulk
Functional: SCAN
Structure: single point on PBEsol structure

a b c (Å): 6.450 6.450 6.450
angles (deg): 141.14 141.14 56.13
Element x y z (fractional)
1 Y 0.000 0.000 0.000
2 Hf 0.250 0.750 0.500
3 Hf 0.750 0.250 0.500
4 Os 0.390 0.390 0.000
5 Os 0.610 0.610 0.000

Properties
Formation enthalpy at 0 K ... -2.593 eV per formula unit
Crystal system ... tetragonal
SG ... I4/mmm

=====

Compound: Y3HfOs
Source: Alexandria via LeMat-Bulk
Functional: SCAN
Structure: single point on PBEsol structure

a b c (Å): 5.266 5.266 5.266
angles (deg): 90.00 90.00 90.00
Element x y z (fractional)
1 Y 0.000 0.000 0.500
2 Y 0.000 0.500 0.000
3 Y 0.500 0.000 0.000
4 Hf 0.500 0.500 0.500
5 Os 0.000 0.000 0.000

Properties
Formation enthalpy at 0 K ... 1.522 eV per formula unit
Crystal system ... cubic
SG ... Pm-3m

=====

Compound: HfZn3Os
Source: Alexandria via LeMat-Bulk
Functional: SCAN
Structure: single point on PBEsol structure

a b c (Å): 4.855 4.855 4.855
angles (deg): 90.00 90.00 90.00
Element x y z (fractional)
1 Hf 0.000 0.000 0.000
2 Zn 0.000 0.000 0.500
3 Zn 0.000 0.500 0.000
4 Zn 0.500 0.000 0.000
5 Os 0.500 0.500 0.500

Properties
Formation enthalpy at 0 K ... 10.439 eV per formula unit
Crystal system ... cubic
SG ... Pm-3m

=====

Compound: Hf3ZrOs
Source: Alexandria via LeMat-Bulk
Functional: SCAN
Structure: single point on PBEsol structure

a b c (Å): 4.944 4.944 4.944
angles (deg): 90.00 90.00 90.00
Element x y z (fractional)
1 Hf 0.000 0.000 0.500
2 Hf 0.000 0.500 0.000
3 Hf 0.500 0.000 0.000
4 Zr 0.500 0.500 0.500
5 Os 0.000 0.000 0.000

Properties
Formation enthalpy at 0 K ... 1.441 eV per formula unit
Crystal system ... cubic
SG ... Pm-3m

=====

Compound: Hf27P16
Source: Alexandria via LeMat-Bulk
Functional: SCAN
Structure: single point on PBEsol structure

a b c (Å): 14.771 14.771 14.771
angles (deg): 166.39 102.91 78.74
Element x y z (fractional)
1 Hf 0.000 0.000 0.000
2 Hf 0.014 0.420 0.594
3 Hf 0.050 0.183 0.867
4 Hf 0.099 0.784 0.314
5 Hf 0.174 0.580 0.594
6 Hf 0.174 0.928 0.246
7 Hf 0.215 0.715 0.500
8 Hf 0.260 0.391 0.869
9 Hf 0.315 0.183 0.133
10 Hf 0.317 0.072 0.246
11 Hf 0.353 0.853 0.500
12 Hf 0.416 0.000 0.416
13 Hf 0.470 0.784 0.686
14 Hf 0.477 0.609 0.869
15 Hf 0.523 0.391 0.131
16 Hf 0.530 0.216 0.314
17 Hf 0.584 0.000 0.584
18 Hf 0.647 0.147 0.500
19 Hf 0.683 0.928 0.754
20 Hf 0.685 0.817 0.867
21 Hf 0.740 0.609 0.131
22 Hf 0.785 0.285 0.500
23 Hf 0.826 0.072 0.754
24 Hf 0.826 0.420 0.406
25 Hf 0.901 0.216 0.686
26 Hf 0.950 0.817 0.133
27 Hf 0.986 0.580 0.406
28 P 0.074 0.343 0.731
29 P 0.124 0.124 0.000
30 P 0.139 0.000 0.139
31 P 0.210 0.285 0.925
32 P 0.308 0.500 0.808
33 P 0.361 0.285 0.075
34 P 0.388 0.657 0.731
35 P 0.440 0.440 0.000
36 P 0.560 0.560 0.000
37 P 0.612 0.343 0.269
38 P 0.639 0.715 0.925
39 P 0.692 0.500 0.192
40 P 0.790 0.715 0.075
41 P 0.861 0.000 0.861
42 P 0.876 0.876 0.000
43 P 0.926 0.657 0.269

Properties
Formation enthalpy at 0 K ... -49.823 eV per formula unit
Crystal system ... orthorhombic
SG ... Immm

=====

Compound: Hf2P
Source: Alexandria via LeMat-Bulk
Functional: SCAN
Structure: single point on PBEsol structure

a b c (Å): 12.135 14.903 3.557
angles (deg): 90.00 90.00 90.00
Element x y z (fractional)
1 Hf 0.026 0.106 0.000
2 Hf 0.087 0.576 0.000
3 Hf 0.097 0.746 0.500
4 Hf 0.117 0.416 0.500
5 Hf 0.160 0.978 0.500
6 Hf 0.188 0.209 0.500
7 Hf 0.312 0.709 0.000
8 Hf 0.340 0.478 0.000
9 Hf 0.383 0.916 0.000
10 Hf 0.403 0.246 0.000
11 Hf 0.413 0.076 0.500
12 Hf 0.474 0.606 0.500
13 Hf 0.526 0.394 0.500
14 Hf 0.587 0.924 0.500
15 Hf 0.597 0.754 0.000
16 Hf 0.617 0.084 0.000
17 Hf 0.660 0.522 0.000
18 Hf 0.688 0.291 0.000
19 Hf 0.812 0.791 0.500
20 Hf 0.840 0.022 0.500
21 Hf 0.883 0.584 0.500
22 Hf 0.903 0.254 0.500
23 Hf 0.913 0.424 0.000
24 Hf 0.974 0.894 0.000
25 P 0.058 0.289 0.000
26 P 0.187 0.850 0.000
27 P 0.245 0.590 0.500
28 P 0.255 0.090 0.000
29 P 0.313 0.350 0.500
30 P 0.442 0.789 0.500
31 P 0.558 0.211 0.500
32 P 0.687 0.650 0.500
33 P 0.745 0.910 0.000
34 P 0.755 0.410 0.500
35 P 0.813 0.150 0.000
36 P 0.942 0.711 0.000

Properties
Formation enthalpy at 0 K ... -3.216 eV per formula unit
Crystal system ... orthorhombic
SG ... Pnnm

=====

Compound: HfP3Pd
Source: Alexandria via LeMat-Bulk
Functional: SCAN
Structure: single point on PBEsol structure

a b c (Å): 4.841 4.841 4.841
angles (deg): 90.00 90.00 90.00
Element x y z (fractional)
1 Hf 0.000 0.000 0.000
2 P 0.000 0.000 0.500
3 P 0.000 0.500 0.000
4 P 0.500 0.000 0.000
5 Pd 0.500 0.500 0.500

Properties
Formation enthalpy at 0 K ... 3.090 eV per formula unit
Crystal system ... cubic
SG ... Pm-3m

=====

Compound: HfSi2PPd
Source: Alexandria via LeMat-Bulk
Functional: SCAN
Structure: single point on PBEsol structure

a b c (Å): 4.951 4.951 4.767
angles (deg): 90.00 90.00 90.00
Element x y z (fractional)
1 Hf 0.000 0.000 0.000
2 Si 0.000 0.500 0.000
3 Si 0.500 0.000 0.000
4 P 0.500 0.500 0.500
5 Pd 0.000 0.000 0.500

Properties
Raw formation energy ... 1.309 eV/atom
Crystal system ... tetragonal
SG ... P4/mmm

=====

Compound: RbHf3P
Source: Alexandria via LeMat-Bulk
Functional: SCAN
Structure: single point on PBEsol structure

a b c (Å): 4.912 4.912 4.912
angles (deg): 90.00 90.00 90.00
Element x y z (fractional)
1 Rb 0.000 0.000 0.000
2 Hf 0.000 0.000 0.500
3 Hf 0.000 0.500 0.000
4 Hf 0.500 0.000 0.000
5 P 0.500 0.500 0.500

Properties
ΔE to the lowest computed polymorph ... 2126 meV/atom
Formation enthalpy at 0 K ... 13.262 eV per formula unit
Crystal system ... cubic
SG ... Pm-3m

=====

Compound: RbHfP2
Source: Alexandria via LeMat-Bulk
Functional: SCAN
Structure: single point on PBEsol structure

a b c (Å): 4.847 4.847 4.847
angles (deg): 60.00 60.00 60.00
Element x y z (fractional)
1 Rb 0.000 0.000 0.000
2 Hf 0.500 0.500 0.500
3 P 0.250 0.250 0.250
4 P 0.750 0.750 0.750

Properties
Formation enthalpy at 0 K ... 0.587 eV per formula unit
Crystal system ... cubic
SG ... Fm-3m

=====

Compound: RbHf3P
Source: Alexandria via LeMat-Bulk
Functional: SCAN
Structure: single point on PBEsol structure

a b c (Å): 4.985 4.985 4.985
angles (deg): 90.00 90.00 90.00
Element x y z (fractional)
1 Rb 0.000 0.000 0.000
2 Hf 0.000 0.500 0.500
3 Hf 0.500 0.000 0.500
4 Hf 0.500 0.500 0.000
5 P 0.500 0.500 0.500

Properties
ΔE to the lowest computed polymorph ... 0 meV/atom
Formation enthalpy at 0 K ... 2.635 eV per formula unit
Crystal system ... cubic
SG ... Pm-3m

=====

Compound: Rb3HfP
Source: Alexandria via LeMat-Bulk
Functional: SCAN
Structure: single point on PBEsol structure

a b c (Å): 6.415 6.415 6.415
angles (deg): 90.00 90.00 90.00
Element x y z (fractional)
1 Rb 0.000 0.000 0.500
2 Rb 0.000 0.500 0.000
3 Rb 0.500 0.000 0.000
4 Hf 0.500 0.500 0.500
5 P 0.000 0.000 0.000

Properties
Formation enthalpy at 0 K ... 4.976 eV per formula unit
Crystal system ... cubic
SG ... Pm-3m

=====

Compound: Hf9Re4P
Source: Alexandria via LeMat-Bulk
Functional: SCAN
Structure: single point on PBEsol structure

a b c (Å): 8.410 8.410 8.570
angles (deg): 90.00 90.00 120.00
Element x y z (fractional)
1 Hf 0.077 0.538 0.250
2 Hf 0.197 0.394 0.548
3 Hf 0.197 0.394 0.952
4 Hf 0.197 0.803 0.548
5 Hf 0.197 0.803 0.952
6 Hf 0.394 0.197 0.048
7 Hf 0.394 0.197 0.452
8 Hf 0.462 0.538 0.250
9 Hf 0.462 0.923 0.250
10 Hf 0.538 0.077 0.750
11 Hf 0.538 0.462 0.750
12 Hf 0.606 0.803 0.548
13 Hf 0.606 0.803 0.952
14 Hf 0.803 0.197 0.048
15 Hf 0.803 0.197 0.452
16 Hf 0.803 0.606 0.048
17 Hf 0.803 0.606 0.452
18 Hf 0.923 0.462 0.750
19 Re 0.000 0.000 0.000
20 Re 0.000 0.000 0.500
21 Re 0.109 0.219 0.250
22 Re 0.109 0.891 0.250
23 Re 0.219 0.109 0.750
24 Re 0.781 0.891 0.250
25 Re 0.891 0.109 0.750
26 Re 0.891 0.781 0.750
27 P 0.333 0.667 0.750
28 P 0.667 0.333 0.250

Properties
Formation enthalpy at 0 K ... -7.005 eV per formula unit
Crystal system ... hexagonal
SG ... P6_3/mmc

=====

Compound: HfReP3
Source: Alexandria via LeMat-Bulk
Functional: SCAN
Structure: single point on PBEsol structure

a b c (Å): 4.569 4.569 4.569
angles (deg): 90.00 90.00 90.00
Element x y z (fractional)
1 Hf 0.000 0.000 0.000
2 Re 0.500 0.500 0.500
3 P 0.000 0.500 0.500
4 P 0.500 0.000 0.500
5 P 0.500 0.500 0.000

Properties
Formation enthalpy at 0 K ... 3.689 eV per formula unit
Crystal system ... cubic
SG ... Pm-3m

=====

Compound: Hf3ReP
Source: Alexandria via LeMat-Bulk
Functional: SCAN
Structure: single point on PBEsol structure

a b c (Å): 4.663 4.663 4.663
angles (deg): 90.00 90.00 90.00
Element x y z (fractional)
1 Hf 0.000 0.000 0.500
2 Hf 0.000 0.500 0.000
3 Hf 0.500 0.000 0.000
4 Re 0.500 0.500 0.500
5 P 0.000 0.000 0.000

Properties
Formation enthalpy at 0 K ... 1.006 eV per formula unit
Crystal system ... cubic
SG ... Pm-3m

=====

Compound: HfRePS2
Source: Alexandria via LeMat-Bulk
Functional: SCAN
Structure: single point on PBEsol structure

a b c (Å): 4.739 4.739 5.099
angles (deg): 90.00 90.00 90.00
Element x y z (fractional)
1 Hf 0.000 0.000 0.000
2 Re 0.500 0.500 0.500
3 P 0.000 0.000 0.500
4 S 0.000 0.500 0.000
5 S 0.500 0.000 0.000

Properties
Raw formation energy ... 0.740 eV/atom
Crystal system ... tetragonal
SG ... P4/mmm

=====

Compound: HfP3Rh
Source: Alexandria via LeMat-Bulk
Functional: SCAN
Structure: single point on PBEsol structure

a b c (Å): 4.499 4.499 4.499
angles (deg): 90.00 90.00 90.00
Element x y z (fractional)
1 Hf 0.000 0.000 0.000
2 P 0.000 0.500 0.500
3 P 0.500 0.000 0.500
4 P 0.500 0.500 0.000
5 Rh 0.500 0.500 0.500

Properties
Formation enthalpy at 0 K ... 2.439 eV per formula unit
Crystal system ... cubic
SG ... Pm-3m

=====

Number 1: DOS(E_F) 1.33 states/eV/atom, DFT total energy -36.161 eV/atom, spin magnetization 0.00 μB/f.u.. Number 2: DOS(E_F) 0.88 states/eV/atom, DFT total energy -67.510 eV/atom, spin magnetization 0.00 μB/f.u.. Number 3: DOS(E_F) 0.45 states/eV/atom, DFT total energy -65.197 eV/atom, spin magnetization 0.00 μB/f.u.. Number 4: DOS(E_F) 0.65 states/eV/atom, DFT total energy -59.908 eV/atom, spin magnetization 0.00 μB/f.u.. Number 5: DOS(E_F) 1.04 states/eV/atom, DFT total energy -43.312 eV/atom, spin magnetization 2.02 μB/f.u.. Number 6: DOS(E_F) 0.70 states/eV/atom, DFT total energy -32.932 eV/atom, spin magnetization 1.97 μB/f.u.. Number 7: DOS(E_F) 1.25 states/eV/atom, DFT total energy -57.831 eV/atom, spin magnetization 0.00 μB/f.u.. Number 8: DOS(E_F) 0.45 states/eV/atom, DFT total energy -44.381 eV/atom, spin magnetization 0.00 μB/f.u.. Number 9: DOS(E_F) 0.53 states/eV/atom, DFT total energy -46.320 eV/atom, spin magnetization 0.00 μB/f.u.. Number 10: DOS(E_F) 0.54 states/eV/atom, DFT total energy -24.711 eV/atom, spin magnetization 0.00 μB/f.u.. Number 11: DOS(E_F) 0.56 states/eV/atom, DFT total energy -23.867 eV/atom, spin magnetization 0.00 μB/f.u.. Number 12: DOS(E_F) 1.60 states/eV/atom, DFT total energy -41.179 eV/atom, spin magnetization 0.01 μB/f.u.. Number 13: DOS(E_F) 0.41 states/eV/atom, DFT total energy -25.906 eV/atom, spin magnetization 0.00 μB/f.u.. Number 14: DOS(E_F) 1.52 states/eV/atom, DFT total energy -43.305 eV/atom, spin magnetization 0.00 μB/f.u.. Number 15: DOS(E_F) 0.58 states/eV/atom, DFT total energy -26.063 eV/atom, spin magnetization 1.99 μB/f.u.. Number 16: DOS(E_F) 0.81 states/eV/atom, DFT total energy -61.847 eV/atom, spin magnetization 0.00 μB/f.u.. Number 17: DOS(E_F) 1.01 states/eV/atom, DFT total energy -32.255 eV/atom, spin magnetization 0.00 μB/f.u.. Number 18: DOS(E_F) 0.97 states/eV/atom, DFT total energy -53.702 eV/atom, spin magnetization 0.86 μB/f.u.. Number 19: DOS(E_F) 0.63 states/eV/atom, DFT total energy -31.945 eV/atom, spin magnetization 4.13 μB/f.u.. Number 20: DOS(E_F) 0.65 states/eV/atom, DFT total energy -25.040 eV/atom, spin magnetization 0.00 μB/f.u..